Entry 1:
VASP calculation (PBE) on a geometry-optimized InCN2 structure.

## Properties
uncorrected formation energy: 7.64 eV/f.u.
symmetry: R-3m (166)
D(E_F): 1.89 states/eV per cell

POSCAR file:
```
InCN2
1.0
1.3581 0.7841 6.2741
-1.3581 0.7841 6.2741
0.0000 -1.5682 6.2741
In C N
1 1 2
Direct
0.0000 0.0000 0.0000 In
0.5000 0.5000 0.5000 C
0.1215 0.1215 0.1215 N
0.8785 0.8785 0.8785 N
```

=====

Entry 2:
VASP calculation (PBE) on a geometry-optimized InC3N structure.

## Properties
uncorrected formation energy: 15.81 eV/f.u.
symmetry: Pm-3m (221)
D(E_F): 3.00 states/eV per cell
distance to the lowest polymorph of the same formula: 0.0000 eV per atom

POSCAR file:
```
InC3N
1.0
3.6689 0.0000 0.0000
0.0000 3.6689 0.0000
0.0000 0.0000 3.6689
In C N
1 3 1
Direct
0.0000 0.0000 0.0000 In
0.0000 0.5000 0.5000 C
0.5000 0.0000 0.5000 C
0.5000 0.5000 0.0000 C
0.5000 0.5000 0.5000 N
```

=====

Entry 3:
VASP calculation (PBE) on a geometry-optimized InCN2 structure.

## Properties
uncorrected formation energy: 10.51 eV/f.u.
symmetry: Fm-3m (225)
D(E_F): 2.18 states/eV per cell

POSCAR file:
```
InCN2
1.0
0.0000 2.7542 2.7542
2.7542 0.0000 2.7542
2.7542 2.7542 0.0000
In C N
1 1 2
Direct
0.0000 0.0000 0.0000 In
0.5000 0.5000 0.5000 C
0.2500 0.2500 0.2500 N
0.7500 0.7500 0.7500 N
```

=====

Entry 4:
VASP calculation (PBE) on a geometry-optimized InNiCN2 structure.

## Properties
uncorrected formation energy: 14.09 eV/f.u.
symmetry: P4/mmm (123)
D(E_F): 5.76 states/eV per cell

POSCAR file:
```
InNiCN2
1.0
4.1594 0.0000 0.0000
0.0000 4.1594 0.0000
0.0000 0.0000 4.2531
In Ni C N
1 1 1 2
Direct
0.0000 0.0000 0.0000 In
0.5000 0.5000 0.5000 Ni
0.0000 0.0000 0.5000 C
0.0000 0.5000 0.0000 N
0.5000 0.0000 0.0000 N
```

=====

Entry 5:
VASP calculation (PBE) on a geometry-optimized InCN2O structure.

## Properties
uncorrected formation energy: 6.62 eV/f.u.
symmetry: P4/mmm (123)
D(E_F): 1.73 states/eV per cell

POSCAR file:
```
InCN2O
1.0
3.0859 0.0000 0.0000
0.0000 3.0859 0.0000
0.0000 0.0000 5.6143
In C N O
1 1 2 1
Direct
0.0000 0.0000 0.0000 In
0.5000 0.5000 0.5000 C
0.0000 0.5000 0.5000 N
0.5000 0.0000 0.5000 N
0.5000 0.5000 0.0000 O
```

=====

Entry 6:
VASP calculation (PBE) on a geometry-optimized InCN2O structure.

## Properties
uncorrected formation energy: 12.35 eV/f.u.
symmetry: P4/mmm (123)
D(E_F): 2.13 states/eV per cell

POSCAR file:
```
InCN2O
1.0
3.9541 0.0000 0.0000
0.0000 3.9541 0.0000
0.0000 0.0000 3.2881
In C N O
1 1 2 1
Direct
0.0000 0.0000 0.0000 In
0.5000 0.5000 0.0000 C
0.0000 0.5000 0.5000 N
0.5000 0.0000 0.5000 N
0.5000 0.5000 0.5000 O
```

=====

VASP energy per entry: -5.243, -4.585, -4.526, -4.061, -5.389, -4.244 eV/atom